Record 1
A plane-wave DFT calculation with PBE was carried out for an optimized crystal structure of LiFeTe2Br.

Properties
Density of states at the Fermi level in states/eV/f.u.: 4.20
Raw total energy in eV per atom: -3.072
Density in g/cm³: 5.11

Cell: 4.9208 4.9208 5.3372 Å, 90.00 90.00 90.00°
Last column: nearest neighbours and their distance in Å.
Space group P4/mmm (No. 123)
Symmetry-distinct sites (fractional):
Li  0.0000  0.0000  0.0000 x1  4 Te 2.46, 2 Fe 2.67
Fe  0.0000  0.0000  0.5000 x1  2 Li 2.67
Te  0.0000  0.5000  0.0000 x2  2 Li 2.46
Br  0.5000  0.5000  0.5000 x1  4 Fe 3.48, 8 Te 3.63

=====

Record 2
A plane-wave DFT calculation with PBE was carried out for an optimized crystal structure of Mg2Tl3Pb2.

Properties
Energy of formation from the pure elements in eV/atom: -0.008
Density of states at the Fermi level in states/eV/f.u.: 3.24
Density in g/cm³: 8.95

Cell: 5.1038 22.6727 3.4518 Å, 90.00 90.00 90.00°
Last column: nearest neighbours and their distance in Å.
Space group Cmmm (No. 65)
Symmetry-distinct sites (fractional):
Mg  0.0000  0.2111  0.0000 x4  1 Tl 3.09, 4 Mg 3.10-3.45, 6 Pb 3.28-3.35
Tl  0.0000  0.0749  0.0000 x4  1 Mg 3.09, 3 Tl 3.39-3.45
Tl  0.0000  0.5000  0.5000 x2  10 Tl 3.45-3.52, 2 Pb 3.68
Pb  0.0000  0.3379  0.5000 x4  6 Mg 3.28-3.35, 2 Pb 3.45, 4 Tl 3.66

=====

Record 3
A plane-wave DFT calculation with PBE was carried out for an optimized crystal structure of In3Re4.

Properties
Energy of formation from the pure elements in eV/atom: 1.125
Density of states at the Fermi level in states/eV/f.u.: 5.46
Density in g/cm³: 14.79

Cell: 5.2782 5.2782 5.0707 Å, 90.00 90.00 120.00°
Last column: nearest neighbours and their distance in Å.
Space group P6/mmm (No. 191)
Symmetry-distinct sites (fractional):
In  0.0000  0.5000  0.0000 x3  4 In 2.64
Re  0.0000  0.0000  0.2657 x2  1 Re 2.38
Re  0.3333  0.6667  0.5000 x2  6 In 2.96, 9 Re 3.05-3.27

=====

Record 4
A plane-wave DFT calculation with PBE was carried out for an optimized crystal structure of LaSm6Mg2.

Properties
Energy of formation from the pure elements in eV/atom: 0.097
Density of states at the Fermi level in states/eV/f.u.: 11.97
Density in g/cm³: 6.18

Cell: 19.0828 11.7480 5.2199 Å, 90.00 90.00 90.00°
Last column: nearest neighbours and their distance in Å.
Space group Cmcm (No. 63)
Symmetry-distinct sites (fractional):
La  0.0000  0.2424  0.2500 x4  10 Sm 3.59-3.71
Sm  0.0871  0.4171  0.7500 x8  6 Sm 3.26-3.60, 1 Mg 3.30
Sm  0.1016  0.1120  0.7500 x8  1 Mg 3.29, 2 La 3.59, 1 Sm 3.60
Sm  0.1853  0.3004  0.2500 x8  4 Mg 3.09-3.43
Mg  0.2407  0.0532  0.2500 x8  2 Mg 2.89, 1 Sm 3.09

=====

Record 5
A plane-wave DFT calculation with PBE was carried out for an optimized crystal structure of ErThPt4.

Properties
Energy of formation from the pure elements in eV/atom: -1.092
Density of states at the Fermi level in states/eV/f.u.: 4.23
Density in g/cm³: 16.83

Cell: 7.7502 7.7502 7.7502 Å, 90.00 90.00 90.00°
Last column: nearest neighbours and their distance in Å.
Space group F-43m (No. 216)
Symmetry-distinct sites (fractional):
Er  0.0000  0.0000  0.0000 x4  12 Pt 3.21, 4 Th 3.36
Th  0.2500  0.2500  0.7500 x4  12 Pt 3.21, 4 Er 3.36
Pt  0.1255  0.1255  0.3745 x16  6 Pt 2.73-2.75

=====

Record 6
A plane-wave DFT calculation with PBE was carried out for an optimized crystal structure of PrSm2Dy5Er.

Properties
Energy of formation from the pure elements in eV/atom: 0.274
Density of states at the Fermi level in states/eV/f.u.: 10.49
Density in g/cm³: 7.99

Cell: 8.8070 8.8070 15.2390 Å, 90.00 90.00 90.00°
Last column: nearest neighbours and their distance in Å.
Space group I4/mcm (No. 140)
Symmetry-distinct sites (fractional):
Pr  0.0000  0.0000  0.2500 x4  10 Dy 3.61-3.81
Sm  0.1154  0.3846  0.0000 x8  1 Sm 2.88, 2 Dy 3.02
Dy  0.0000  0.0000  0.0000 x4  4 Sm 3.54, 8 Dy 3.77, 2 Pr 3.81
Dy  0.2082  0.2918  0.3643 x16  1 Sm 3.02, 1 Er 3.12
Er  0.0000  0.5000  0.2500 x4  4 Dy 3.12

=====

- Look up the density of the third one.
  14.79 g/cm³

=====

Please write out number 1 again, unchanged.
A plane-wave DFT calculation with PBE was carried out for an optimized crystal structure of LiFeTe2Br.

Properties
Density of states at the Fermi level in states/eV/f.u.: 4.20
Raw total energy in eV per atom: -3.072
Density in g/cm³: 5.11

Cell: 4.9208 4.9208 5.3372 Å, 90.00 90.00 90.00°
Last column: nearest neighbours and their distance in Å.
Space group P4/mmm (No. 123)
Symmetry-distinct sites (fractional):
Li  0.0000  0.0000  0.0000 x1  4 Te 2.46, 2 Fe 2.67
Fe  0.0000  0.0000  0.5000 x1  2 Li 2.67
Te  0.0000  0.5000  0.0000 x2  2 Li 2.46
Br  0.5000  0.5000  0.5000 x1  4 Fe 3.48, 8 Te 3.63

=====

- Which formula does entry 2 have?
  Mg2Tl3Pb2